## P
DFT (PBE-GGA) results for Cd3Sn2Pb2 after structural relaxation.

```
data_Cd3Sn2Pb2
_space_group_name_H-M_alt 'C m m m'
_space_group_IT_number 65
_space_group_name_Hall '-C 2 2'
_cell_length_a 4.670
_cell_length_b 23.453
_cell_length_c 3.476
_cell_angle_alpha 90.00
_cell_angle_beta 90.00
_cell_angle_gamma 90.00
loop_
_atom_site_label
_atom_site_fract_x
_atom_site_fract_y
_atom_site_fract_z
_atom_site_occupancy
Cd1 0.000 0.000 0.000 1
Cd2 0.000 0.436 0.500 1
Sn1 0.000 0.294 0.500 1
Pb1 0.000 0.136 0.000 1
```

Its spin magnetization is 0.00 μB per cell.



## Q
DFT (PBE-GGA) results for Cd3Sn2Pb2 after structural relaxation.

```
data_Cd3Sn2Pb2
_space_group_name_H-M_alt 'C 1 2/m 1'
_space_group_IT_number 12
_cell_length_a 11.044
_cell_length_b 3.343
_cell_length_c 10.330
_cell_angle_alpha 90.00
_cell_angle_beta 97.45
_cell_angle_gamma 90.00
loop_
_space_group_symop_operation_xyz
'x,y,z'
'-x,-y,-z'
'-x,y,-z'
'x,-y,z'
'x+1/2,y+1/2,z'
'-x+1/2,-y+1/2,-z'
'-x+1/2,y+1/2,-z'
'x+1/2,-y+1/2,z'
loop_
_atom_site_label
_atom_site_fract_x
_atom_site_fract_y
_atom_site_fract_z
_atom_site_occupancy
Cd1 0.000 0.000 0.000 1
Cd2 0.214 0.500 0.875 1
Sn1 0.069 0.500 0.262 1
Pb1 0.145 0.000 0.587 1
```

Its spin magnetization is 0.00 μB per cell.



In eV/atom, relative to the most stable structure: P 0.014; Q 0.000.



## P
DFT (PBE-GGA) results for Cd2SnPb4 after structural relaxation.

```
data_Cd2SnPb4
_space_group_name_H-M_alt 'P 1'
_space_group_IT_number 1
_cell_length_a 6.787
_cell_length_b 8.007
_cell_length_c 8.410
_cell_angle_alpha 112.14
_cell_angle_beta 93.24
_cell_angle_gamma 103.92
loop_
_space_group_symop_operation_xyz
'x,y,z'
loop_
_atom_site_label
_atom_site_fract_x
_atom_site_fract_y
_atom_site_fract_z
_atom_site_occupancy
Cd1 0.000 0.000 0.000 1
Cd2 0.071 0.275 0.405 1
Cd3 0.222 0.869 0.259 1
Cd4 0.636 0.585 0.847 1
Sn1 0.496 0.003 0.991 1
Sn2 0.906 0.730 0.587 1
Pb1 0.134 0.578 0.840 1
Pb2 0.278 0.145 0.683 1
Pb3 0.362 0.417 0.117 1
Pb4 0.394 0.711 0.547 1
Pb5 0.580 0.292 0.422 1
Pb6 0.725 0.859 0.267 1
Pb7 0.781 0.136 0.713 1
Pb8 0.881 0.447 0.153 1
```

Its spin magnetization is 0.00 μB per cell.



## Q
DFT (PBE-GGA) results for Cd2SnPb4 after structural relaxation.

```
data_Cd2SnPb4
_space_group_name_H-M_alt 'I 4/m m m'
_space_group_IT_number 139
_space_group_name_Hall '-I 4 2'
_cell_length_a 8.087
_cell_length_b 8.087
_cell_length_c 6.386
_cell_angle_alpha 90.00
_cell_angle_beta 90.00
_cell_angle_gamma 90.00
loop_
_atom_site_label
_atom_site_fract_x
_atom_site_fract_y
_atom_site_fract_z
_atom_site_occupancy
Cd1 0.000 0.500 0.250 1
Sn1 0.000 0.000 0.000 1
Pb1 0.207 0.207 0.500 1
```

Its spin magnetization is 0.00 μB per cell.



In eV/atom, relative to the most stable structure: P 0.000; Q 0.057.



## P
DFT (PBE-GGA) results for CdSn2Pb after structural relaxation.

```
data_CdSn2Pb
_space_group_name_H-M_alt 'P 1 21/m 1'
_space_group_IT_number 11
_cell_length_a 6.664
_cell_length_b 5.010
_cell_length_c 6.709
_cell_angle_alpha 90.00
_cell_angle_beta 95.60
_cell_angle_gamma 90.00
loop_
_space_group_symop_operation_xyz
'x,y,z'
'-x,-y,-z'
'-x,y+1/2,-z'
'x,-y+1/2,z'
loop_
_atom_site_label
_atom_site_fract_x
_atom_site_fract_y
_atom_site_fract_z
_atom_site_occupancy
Cd1 0.126 0.250 0.111 1
Sn1 0.126 0.250 0.605 1
Sn2 0.364 0.750 0.381 1
Pb1 0.360 0.750 0.880 1
```

Its spin magnetization is 0.00 μB per cell.



## Q
DFT (PBE-GGA) results for CdSn2Pb after structural relaxation.

```
data_CdSn2Pb
_space_group_name_H-M_alt 'F m -3 m'
_space_group_IT_number 225
_space_group_name_Hall '-F 4 2 3'
_cell_length_a 7.640
_cell_length_b 7.640
_cell_length_c 7.640
_cell_angle_alpha 90.00
_cell_angle_beta 90.00
_cell_angle_gamma 90.00
loop_
_atom_site_label
_atom_site_fract_x
_atom_site_fract_y
_atom_site_fract_z
_atom_site_occupancy
Cd1 0.000 0.000 0.000 1
Sn1 0.250 0.250 0.250 1
Pb1 0.000 0.000 0.500 1
```

Its spin magnetization is 0.00 μB per cell.



## R
DFT (PBE-GGA) results for CdSn2Pb after structural relaxation.

```
data_CdSn2Pb
_space_group_name_H-M_alt 'R 3 m'
_space_group_IT_number 160
_space_group_name_Hall 'R 3 -2"'
_cell_length_a 4.8903
_cell_length_b 4.8903
_cell_length_c 17.5705
_cell_angle_alpha 90.00
_cell_angle_beta 90.00
_cell_angle_gamma 120.00
loop_
_atom_site_label
_atom_site_fract_x
_atom_site_fract_y
_atom_site_fract_z
_atom_site_occupancy
Cd1 0.0000 0.0000 0.0000 1
Sn1 0.0000 0.0000 0.3960 1
Sn2 0.0000 0.0000 0.5857 1
Pb1 0.0000 0.0000 0.8179 1
```

Its spin magnetization is 0.00 μB per cell.



In eV/atom, relative to the most stable structure: P 0.000; Q 0.031; R 0.050.



## P
DFT (PBE-GGA) results for CdSn2Pb after structural relaxation.

```
data_CdSn2Pb
_space_group_name_H-M_alt 'C 1 2/m 1'
_space_group_IT_number 12
_cell_length_a 11.495
_cell_length_b 3.446
_cell_length_c 5.797
_cell_angle_alpha 90.00
_cell_angle_beta 105.28
_cell_angle_gamma 90.00
loop_
_space_group_symop_operation_xyz
'x,y,z'
'-x,-y,-z'
'-x,y,-z'
'x,-y,z'
'x+1/2,y+1/2,z'
'-x+1/2,-y+1/2,-z'
'-x+1/2,y+1/2,-z'
'x+1/2,-y+1/2,z'
loop_
_atom_site_label
_atom_site_fract_x
_atom_site_fract_y
_atom_site_fract_z
_atom_site_occupancy
Cd1 0.000 0.000 0.000 1
Sn1 0.241 0.500 0.239 1
Pb1 0.000 0.500 0.500 1
```

Its spin magnetization is 0.00 μB per cell.



## Q
DFT (PBE-GGA) results for CdSn2Pb after structural relaxation.

```
data_CdSn2Pb
_space_group_name_H-M_alt 'P 4/m m m'
_space_group_IT_number 123
_space_group_name_Hall '-P 4 2'
_cell_length_a 4.707
_cell_length_b 4.707
_cell_length_c 5.028
_cell_angle_alpha 90.00
_cell_angle_beta 90.00
_cell_angle_gamma 90.00
loop_
_atom_site_label
_atom_site_fract_x
_atom_site_fract_y
_atom_site_fract_z
_atom_site_occupancy
Cd1 0.000 0.000 0.000 1
Sn1 0.000 0.500 0.500 1
Pb1 0.500 0.500 0.000 1
```

Its spin magnetization is 0.00 μB per cell.



In eV/atom, relative to the most stable structure: P 0.000; Q 0.009.



## P
DFT (PBE-GGA) results for CdSn2Pb after structural relaxation.

```
data_CdSn2Pb
_space_group_name_H-M_alt 'I -4 2 d'
_space_group_IT_number 122
_space_group_name_Hall 'I -4 2bw'
_cell_length_a 6.760
_cell_length_b 6.760
_cell_length_c 13.208
_cell_angle_alpha 90.00
_cell_angle_beta 90.00
_cell_angle_gamma 90.00
loop_
_atom_site_label
_atom_site_fract_x
_atom_site_fract_y
_atom_site_fract_z
_atom_site_occupancy
Cd1 0.000 0.000 0.000 1
Sn1 0.237 0.250 0.125 1
Pb1 0.000 0.000 0.500 1
```

Its spin magnetization is 0.00 μB per cell.



## Q
DFT (PBE-GGA) results for CdSn2Pb after structural relaxation.

```
data_CdSn2Pb
_space_group_name_H-M_alt 'P 4/m m m'
_space_group_IT_number 123
_space_group_name_Hall '-P 4 2'
_cell_length_a 3.987
_cell_length_b 3.987
_cell_length_c 6.966
_cell_angle_alpha 90.00
_cell_angle_beta 90.00
_cell_angle_gamma 90.00
loop_
_atom_site_label
_atom_site_fract_x
_atom_site_fract_y
_atom_site_fract_z
_atom_site_occupancy
Cd1 0.000 0.000 0.000 1
Sn1 0.500 0.500 0.227 1
Pb1 0.000 0.000 0.500 1
```

Its spin magnetization is 0.00 μB per cell.



## R
DFT (PBE-GGA) results for CdSn2Pb after structural relaxation.

```
data_CdSn2Pb
_space_group_name_H-M_alt 'R -3 m'
_space_group_IT_number 166
_space_group_name_Hall '-R 3 2"'
_cell_length_a 4.3557
_cell_length_b 4.3557
_cell_length_c 21.5411
_cell_angle_alpha 90.00
_cell_angle_beta 90.00
_cell_angle_gamma 120.00
loop_
_atom_site_label
_atom_site_fract_x
_atom_site_fract_y
_atom_site_fract_z
_atom_site_occupancy
Cd1 0.0000 0.0000 0.0000 1
Sn1 0.0000 0.0000 0.2587 1
Pb1 0.0000 0.0000 0.5000 1
```

Its spin magnetization is 0.00 μB per cell.



In eV/atom, relative to the most stable structure: P 0.205; Q 0.000; R 0.082.



## P
DFT (PBE-GGA) results for CdSn2Pb5 after structural relaxation.

```
data_CdSn2Pb5
_space_group_name_H-M_alt 'C m c m'
_space_group_IT_number 63
_space_group_name_Hall '-C 2c 2'
_cell_length_a 3.492
_cell_length_b 12.046
_cell_length_c 22.732
_cell_angle_alpha 90.00
_cell_angle_beta 90.00
_cell_angle_gamma 90.00
loop_
_atom_site_label
_atom_site_fract_x
_atom_site_fract_y
_atom_site_fract_z
_atom_site_occupancy
Cd1 0.000 0.202 0.250 1
Sn1 0.000 0.185 0.650 1
Pb1 0.000 0.087 0.108 1
Pb2 0.000 0.365 0.026 1
Pb3 0.000 0.478 0.250 1
```

Its spin magnetization is 0.00 μB per cell.



## Q
DFT (PBE-GGA) results for CdSn2Pb5 after structural relaxation.

```
data_CdSn2Pb5
_space_group_name_H-M_alt 'P b a m'
_space_group_IT_number 55
_cell_length_a 6.992
_cell_length_b 13.967
_cell_length_c 4.871
_cell_angle_alpha 90.00
_cell_angle_beta 90.00
_cell_angle_gamma 90.00
loop_
_space_group_symop_operation_xyz
'x,y,z'
'-x,-y,-z'
'-x,-y,z'
'x,y,-z'
'x+1/2,-y+1/2,-z'
'-x+1/2,y+1/2,z'
'-x+1/2,y+1/2,-z'
'x+1/2,-y+1/2,z'
loop_
_atom_site_label
_atom_site_fract_x
_atom_site_fract_y
_atom_site_fract_z
_atom_site_occupancy
Cd1 0.000 0.000 0.000 1
Sn1 0.247 0.121 0.500 1
Pb1 0.000 0.500 0.000 1
Pb2 0.012 0.247 0.000 1
Pb3 0.234 0.880 0.500 1
```

Its spin magnetization is 0.00 μB per cell.



In eV/atom, relative to the most stable structure: P 0.007; Q 0.000.



## P
DFT (PBE-GGA) results for CdSn3Pb3 after structural relaxation.

```
data_CdSn3Pb3
_space_group_name_H-M_alt 'P m -3 n'
_space_group_IT_number 223
_space_group_name_Hall '-P 4n 2 3'
_cell_length_a 8.385
_cell_length_b 8.385
_cell_length_c 8.385
_cell_angle_alpha 90.00
_cell_angle_beta 90.00
_cell_angle_gamma 90.00
loop_
_atom_site_label
_atom_site_fract_x
_atom_site_fract_y
_atom_site_fract_z
_atom_site_occupancy
Cd1 0.000 0.000 0.000 1
Sn1 0.000 0.250 0.500 1
Pb1 0.000 0.500 0.250 1
```

Its spin magnetization is 0.00 μB per cell.



## Q
DFT (PBE-GGA) results for CdSn3Pb3 after structural relaxation.

```
data_CdSn3Pb3
_space_group_name_H-M_alt 'R -3'
_space_group_IT_number 148
_space_group_name_Hall '-R 3'
_cell_length_a 9.1512
_cell_length_b 9.1512
_cell_length_c 16.7579
_cell_angle_alpha 90.00
_cell_angle_beta 90.00
_cell_angle_gamma 120.00
loop_
_atom_site_label
_atom_site_fract_x
_atom_site_fract_y
_atom_site_fract_z
_atom_site_occupancy
Cd1 0.0000 0.0000 0.2486 1
Sn1 0.0475 0.2315 0.9154 1
Pb1 0.0462 0.2433 0.4155 1
```

Its spin magnetization is 0.00 μB per cell.



In eV/atom, relative to the most stable structure: P 0.267; Q 0.000.



## P
DFT (PBE-GGA) results for Cd2SnPb6 after structural relaxation.

```
data_Cd2SnPb6
_space_group_name_H-M_alt 'C 1 2/m 1'
_space_group_IT_number 12
_cell_length_a 14.618
_cell_length_b 4.795
_cell_length_c 8.061
_cell_angle_alpha 90.00
_cell_angle_beta 109.68
_cell_angle_gamma 90.00
loop_
_space_group_symop_operation_xyz
'x,y,z'
'-x,-y,-z'
'-x,y,-z'
'x,-y,z'
'x+1/2,y+1/2,z'
'-x+1/2,-y+1/2,-z'
'-x+1/2,y+1/2,-z'
'x+1/2,-y+1/2,z'
loop_
_atom_site_label
_atom_site_fract_x
_atom_site_fract_y
_atom_site_fract_z
_atom_site_occupancy
Cd1 0.056 0.000 0.328 1
Sn1 0.000 0.500 0.000 1
Pb1 0.106 0.500 0.663 1
Pb2 0.159 0.000 0.992 1
Pb3 0.219 0.500 0.337 1
```

Its spin magnetization is 0.00 μB per cell.



## Q
DFT (PBE-GGA) results for Cd2SnPb6 after structural relaxation.

```
data_Cd2SnPb6
_space_group_name_H-M_alt 'C 1 2/m 1'
_space_group_IT_number 12
_cell_length_a 15.163
_cell_length_b 3.541
_cell_length_c 11.481
_cell_angle_alpha 90.00
_cell_angle_beta 118.26
_cell_angle_gamma 90.00
loop_
_space_group_symop_operation_xyz
'x,y,z'
'-x,-y,-z'
'-x,y,-z'
'x,-y,z'
'x+1/2,y+1/2,z'
'-x+1/2,-y+1/2,-z'
'-x+1/2,y+1/2,-z'
'x+1/2,-y+1/2,z'
loop_
_atom_site_label
_atom_site_fract_x
_atom_site_fract_y
_atom_site_fract_z
_atom_site_occupancy
Cd1 0.138 0.000 0.258 1
Sn1 0.000 0.500 0.000 1
Pb1 0.040 0.500 0.726 1
Pb2 0.153 0.000 0.542 1
Pb3 0.240 0.500 0.116 1
```

Its spin magnetization is 0.00 μB per cell.



In eV/atom, relative to the most stable structure: P 0.000; Q 0.029.



## P
DFT (PBE-GGA) results for Sr3CdPb after structural relaxation.

```
data_Sr3CdPb
_space_group_name_H-M_alt 'C m c m'
_space_group_IT_number 63
_space_group_name_Hall '-C 2c 2'
_cell_length_a 5.763
_cell_length_b 23.061
_cell_length_c 5.771
_cell_angle_alpha 90.00
_cell_angle_beta 90.00
_cell_angle_gamma 90.00
loop_
_atom_site_label
_atom_site_fract_x
_atom_site_fract_y
_atom_site_fract_z
_atom_site_occupancy
Sr1 0.000 0.072 0.250 1
Sr2 0.000 0.250 0.250 1
Sr3 0.000 0.427 0.250 1
Cd1 0.000 0.158 0.750 1
Pb1 0.000 0.339 0.750 1
```

Its spin magnetization is 0.00 μB per cell.



## Q
DFT (PBE-GGA) results for Sr3CdPb after structural relaxation.

```
data_Sr3CdPb
_space_group_name_H-M_alt 'P m -3 m'
_space_group_IT_number 221
_space_group_name_Hall '-P 4 2 3'
_cell_length_a 6.409
_cell_length_b 6.409
_cell_length_c 6.409
_cell_angle_alpha 90.00
_cell_angle_beta 90.00
_cell_angle_gamma 90.00
loop_
_atom_site_label
_atom_site_fract_x
_atom_site_fract_y
_atom_site_fract_z
_atom_site_occupancy
Sr1 0.000 0.000 0.500 1
Cd1 0.500 0.500 0.500 1
Pb1 0.000 0.000 0.000 1
```

Its spin magnetization is 0.00 μB per cell.



In eV/atom, relative to the most stable structure: P 0.000; Q 0.330.



## P
DFT (PBE-GGA) results for Sr4CdPb after structural relaxation.

```
data_Sr4CdPb
_space_group_name_H-M_alt 'F -4 3 m'
_space_group_IT_number 216
_space_group_name_Hall 'F -4 2 3'
_cell_length_a 10.187
_cell_length_b 10.187
_cell_length_c 10.187
_cell_angle_alpha 90.00
_cell_angle_beta 90.00
_cell_angle_gamma 90.00
loop_
_atom_site_label
_atom_site_fract_x
_atom_site_fract_y
_atom_site_fract_z
_atom_site_occupancy
Sr1 0.124 0.124 0.376 1
Cd1 0.000 0.000 0.000 1
Pb1 0.250 0.250 0.750 1
```

Its spin magnetization is 0.00 μB per cell.



## Q
DFT (PBE-GGA) results for Sr4CdPb after structural relaxation.

```
data_Sr4CdPb
_space_group_name_H-M_alt 'P 4/m m m'
_space_group_IT_number 123
_space_group_name_Hall '-P 4 2'
_cell_length_a 5.668
_cell_length_b 5.668
_cell_length_c 8.302
_cell_angle_alpha 90.00
_cell_angle_beta 90.00
_cell_angle_gamma 90.00
loop_
_atom_site_label
_atom_site_fract_x
_atom_site_fract_y
_atom_site_fract_z
_atom_site_occupancy
Sr1 0.000 0.500 0.246 1
Cd1 0.000 0.000 0.500 1
Pb1 0.500 0.500 0.000 1
```

Its spin magnetization is 0.00 μB per cell.



In eV/atom, relative to the most stable structure: P 0.543; Q 0.000.



## P
DFT (PBE-GGA) results for SrCd4Pb after structural relaxation.

```
data_SrCd4Pb
_space_group_name_H-M_alt 'F -4 3 m'
_space_group_IT_number 216
_space_group_name_Hall 'F -4 2 3'
_cell_length_a 8.672
_cell_length_b 8.672
_cell_length_c 8.672
_cell_angle_alpha 90.00
_cell_angle_beta 90.00
_cell_angle_gamma 90.00
loop_
_atom_site_label
_atom_site_fract_x
_atom_site_fract_y
_atom_site_fract_z
_atom_site_occupancy
Sr1 0.000 0.000 0.000 1
Cd1 0.125 0.125 0.625 1
Pb1 0.250 0.250 0.250 1
```

Its spin magnetization is 0.00 μB per cell.



## Q
DFT (PBE-GGA) results for SrCd4Pb after structural relaxation.

```
data_SrCd4Pb
_space_group_name_H-M_alt 'C 1 2/m 1'
_space_group_IT_number 12
_cell_length_a 8.922
_cell_length_b 5.151
_cell_length_c 7.211
_cell_angle_alpha 90.00
_cell_angle_beta 90.08
_cell_angle_gamma 90.00
loop_
_space_group_symop_operation_xyz
'x,y,z'
'-x,-y,-z'
'-x,y,-z'
'x,-y,z'
'x+1/2,y+1/2,z'
'-x+1/2,-y+1/2,-z'
'-x+1/2,y+1/2,-z'
'x+1/2,-y+1/2,z'
loop_
_atom_site_label
_atom_site_fract_x
_atom_site_fract_y
_atom_site_fract_z
_atom_site_occupancy
Sr1 0.000 0.000 0.000 1
Cd1 0.166 0.500 0.738 1
Cd2 0.167 0.500 0.262 1
Pb1 0.000 0.000 0.500 1
```

Its spin magnetization is 0.00 μB per cell.



In eV/atom, relative to the most stable structure: P 0.047; Q 0.000.